Material: SrScIr
Method: DFT, PBE
State: optimized geometry

Cell lengths 7.0141, 7.0141, 7.0141 Å; angles 151.43, 152.35, 40.18 degrees
Fractional positions:
1 Sr 0.6388 0.6388 0.0000
2 Sc 0.3833 0.3833 0.0000
3 Ir 0.9780 0.9780 0.0000

As for the formation energy: -8.529 kcal/mol of atoms. The space group is No. 44. Its total magnetic moment is 0.00 μB/f.u. The final energy comes out at -5.995 eV/atom.

Material: SrScIr2
Method: DFT, PBE
State: optimized geometry

Cell lengths 4.8048, 4.8048, 4.8048 Å; angles 60.00, 60.00, 60.00 degrees
Fractional positions:
1 Sc 0.0000 0.0000 0.0000
2 Sr 0.5000 0.5000 0.5000
3 Ir 0.7500 0.7500 0.7500
4 Ir 0.2500 0.2500 0.2500

As for the formation energy: -5.198 kcal/mol of atoms. The space group is No. 225. Its total magnetic moment is 0.00 μB/f.u. The final energy comes out at -6.659 eV/atom.

Material: SrScIr2
Method: DFT, PBE
State: optimized geometry

Cell lengths 7.6332, 4.8641, 3.3314 Å; angles 90.05, 64.06, 129.41 degrees
Fractional positions:
1 Sc 0.0000 0.5000 0.5000
2 Ir 0.0000 0.0000 0.0000
3 Sr 0.5000 0.5000 0.0000
4 Ir 0.5000 0.0000 0.5000

As for the formation energy: -4.668 kcal/mol of atoms. The space group is No. 65. Its total magnetic moment is 0.00 μB/f.u. The final energy comes out at -6.636 eV/atom.

Material: Sr3ScIr
Method: DFT, PBE
State: optimized geometry

Cell lengths 5.8141, 5.8141, 5.8141 Å; angles 90.00, 90.00, 90.00 degrees
Fractional positions:
1 Sr 0.0000 0.0000 0.5000
2 Sc 0.5000 0.5000 0.5000
3 Sr 0.5000 0.0000 0.0000
4 Sr 0.0000 0.5000 0.0000
5 Ir 0.0000 0.0000 0.0000

As for the formation energy: 5.067 kcal/mol of atoms. The space group is No. 221. Its total magnetic moment is 0.00 μB/f.u. The final energy comes out at -3.828 eV/atom.

Material: SrScIr2
Method: DFT, PBE
State: optimized geometry

Cell lengths 10.0939, 10.0939, 10.0939 Å; angles 17.91, 17.91, 17.91 degrees
Fractional positions:
1 Sc 0.5205 0.5205 0.5205
2 Ir 0.9912 0.9912 0.9912
3 Sr 0.7376 0.7376 0.7376
4 Ir 0.2507 0.2507 0.2507

As for the formation energy: 10.616 kcal/mol of atoms. The space group is No. 160. Its total magnetic moment is 0.45 μB/f.u. The final energy comes out at -5.973 eV/atom.

Material: SrScIr
Method: DFT, PBE
State: optimized geometry

Cell lengths 4.1532, 4.1532, 5.9226 Å; angles 90.00, 90.00, 120.00 degrees
Fractional positions:
1 Ir 0.0000 0.0000 0.0518
2 Sc 0.6667 0.3333 0.2138
3 Sr 0.3333 0.6667 0.7344

As for the formation energy: -6.275 kcal/mol of atoms. The space group is No. 156. Its total magnetic moment is 0.00 μB/f.u. The final energy comes out at -5.897 eV/atom.

Material: SrScIr
Method: DFT, PBE
State: optimized geometry

Cell lengths 4.7675, 4.7675, 4.7675 Å; angles 60.00, 60.00, 60.00 degrees
Fractional positions:
1 Ir 0.0000 0.0000 0.0000
2 Sc 0.5000 0.5000 0.5000
3 Sr 0.7500 0.7500 0.7500

As for the formation energy: 19.327 kcal/mol of atoms. The space group is No. 216. Its total magnetic moment is 0.00 μB/f.u. The final energy comes out at -4.787 eV/atom.

Material: SrZrSc2Ir
Method: DFT, PBE
State: optimized geometry

Cell lengths 5.0735, 5.6488, 5.0735 Å; angles 90.00, 90.00, 90.00 degrees
Fractional positions:
1 Sc 0.5000 0.0000 0.0000
2 Sr 0.0000 0.5000 0.0000
3 Zr 0.5000 0.5000 0.5000
4 Ir 0.0000 0.0000 0.0000
5 Sc 0.0000 0.0000 0.5000

As for the formation energy: 5.551 kcal/mol of atoms. The space group is No. 123. Its total magnetic moment is 2.03 μB/f.u. The final energy comes out at -6.110 eV/atom.